No. 1
A plane-wave DFT calculation with PBE was carried out for NaSrPt3 after structural relaxation.

As for the energy above the most stable polymorph in this dataset: 574 meV per atom. For the energy, the calculation gives -3.176 eV per atom. Its formation energy from the elements is 1.049 eV/atom.

The structure belongs to space group Pm-3m (No. 221); the cell edges are 5.373, 5.373 and 5.373 Å and the angles 90.00°, 90.00° and 90.00°. The distinct sites, in fractional coordinates, are Na at (0.000, 0.000, 0.000), Sr at (0.500, 0.500, 0.500) and Pt at (0.000, 0.500, 0.500).

No. 2
A plane-wave DFT calculation with PBE was carried out for HfVNi3 after structural relaxation.

As for the energy above the most stable polymorph in this dataset: 0 meV per atom. For the energy, the calculation gives -6.761 eV per atom. Its formation energy from the elements is 0.522 eV/atom.

The structure belongs to space group Pm-3m (No. 221); the cell edges are 4.269, 4.269 and 4.269 Å and the angles 90.00°, 90.00° and 90.00°. The distinct sites, in fractional coordinates, are Hf at (0.000, 0.000, 0.000), V at (0.500, 0.500, 0.500) and Ni at (0.000, 0.500, 0.500).

No. 3
A plane-wave DFT calculation with PBE was carried out for Cs3CrB after structural relaxation.

For the energy, the calculation gives -2.071 eV per atom. Its formation energy from the elements is 1.701 eV/atom.

The structure belongs to space group Pm-3m (No. 221); the cell edges are 6.260, 6.260 and 6.260 Å and the angles 90.00°, 90.00° and 90.00°. The distinct sites, in fractional coordinates, are Cs at (0.000, 0.000, 0.500), Cr at (0.000, 0.000, 0.000) and B at (0.500, 0.500, 0.500).

No. 4
A plane-wave DFT calculation with PBE was carried out for KZrHg2 after structural relaxation.

As for the energy above the most stable polymorph in this dataset: 209 meV per atom. For the energy, the calculation gives -2.397 eV per atom. Its formation energy from the elements is 0.165 eV/atom.

The structure belongs to space group Imm2 (No. 44); the cell edges are 3.156, 5.522 and 12.001 Å and the angles 90.00°, 90.00° and 90.00°. The distinct sites, in fractional coordinates, are K at (0.000, 0.000, 0.000), Zr at (0.000, 0.500, 0.791), Hg at (0.000, 0.000, 0.509) and Hg at (0.000, 0.500, 0.236).

No. 5
A plane-wave DFT calculation with PBE was carried out for LuAlTl after structural relaxation.

For the energy, the calculation gives -3.728 eV per atom. Its formation energy from the elements is -0.185 eV/atom.

The structure belongs to space group P-6m2 (No. 187); the cell edges are 4.7997, 4.7997 and 3.4165 Å and the angles 90.00°, 90.00° and 120.00°. The distinct sites, in fractional coordinates, are Lu at (0.0000, 0.0000, 0.0000), Al at (0.3333, 0.6667, 0.5000) and Tl at (0.6667, 0.3333, 0.5000).

No. 6
A plane-wave DFT calculation with PBE was carried out for SrH2N after structural relaxation.

As for the energy above the most stable polymorph in this dataset: 0 meV per atom. For the energy, the calculation gives -4.646 eV per atom.

The structure belongs to space group C2/c (No. 15); the cell edges are 3.986, 11.965 and 5.390 Å and the angles 90.00°, 90.11° and 90.00°. The distinct sites, in fractional coordinates, are Sr at (0.000, 0.151, 0.250), H at (0.197, 0.145, 0.751) and N at (0.000, 0.203, 0.750).

No. 7
A plane-wave DFT calculation with PBE was carried out for AlTl after structural relaxation.

For the energy, the calculation gives -2.597 eV per atom. Its formation energy from the elements is 0.457 eV/atom.

The structure belongs to space group P6_3/mmc (No. 194); the cell edges are 4.8728, 4.8728 and 5.8936 Å and the angles 90.00°, 90.00° and 120.00°. The distinct sites, in fractional coordinates, are Al at (0.3333, 0.6667, 0.2500) and Tl at (0.3333, 0.6667, 0.7500).

No. 8
A plane-wave DFT calculation with PBE was carried out for Pr3CBr3 after structural relaxation.

As for the energy above the most stable polymorph in this dataset: 303 meV per atom. For the energy, the calculation gives -5.060 eV per atom. Its uncorrected formation energy is -6.841 eV per formula unit.

The structure belongs to space group C2/m (No. 12); the cell edges are 8.873, 12.352 and 7.947 Å and the angles 90.00°, 103.37° and 90.00°. The distinct sites, in fractional coordinates, are Pr at (0.097, 0.000, 0.324), Pr at (0.207, 0.343, 0.272), C at (0.163, 0.000, 0.633), Br at (0.000, 0.170, 0.000), Br at (0.000, 0.274, 0.500) and Br at (0.089, 0.500, 0.825).

No. 9
A plane-wave DFT calculation with PBE was carried out for MoPbAu after structural relaxation.

As for the energy above the most stable polymorph in this dataset: 79 meV per atom. For the energy, the calculation gives -5.308 eV per atom. Its formation energy from the elements is 0.631 eV/atom.

The structure belongs to space group Imm2 (No. 44); the cell edges are 2.984, 3.968 and 10.411 Å and the angles 90.00°, 90.00° and 90.00°. The distinct sites, in fractional coordinates, are Mo at (0.000, 0.000, 0.000), Pb at (0.000, 0.000, 0.682) and Au at (0.000, 0.000, 0.370).

No. 10
A plane-wave DFT calculation with PBE was carried out for YP2SeO after structural relaxation.

As for the energy above the most stable polymorph in this dataset: 361 meV per atom. For the energy, the calculation gives -5.046 eV per atom. Its uncorrected formation energy is 0.498 eV per formula unit.

The structure belongs to space group P4/mmm (No. 123); the cell edges are 5.466, 5.466 and 4.117 Å and the angles 90.00°, 90.00° and 90.00°. The distinct sites, in fractional coordinates, are Y at (0.000, 0.000, 0.000), P at (0.000, 0.500, 0.000), Se at (0.500, 0.500, 0.500) and O at (0.000, 0.000, 0.500).

No. 11
A plane-wave DFT calculation with PBE was carried out for K2CoRu after structural relaxation.

As for the energy above the most stable polymorph in this dataset: 593 meV per atom. For the energy, the calculation gives -3.352 eV per atom. Its formation energy from the elements is 1.292 eV/atom.

The structure belongs to space group R-3m (No. 166, hexagonal axes); the cell edges are 2.8619, 2.8619 and 33.8008 Å and the angles 90.00°, 90.00° and 120.00°. The distinct sites, in fractional coordinates, are K at (0.0000, 0.0000, 0.2495), Co at (0.0000, 0.0000, 0.0000) and Ru at (0.0000, 0.0000, 0.5000).

No. 12
A plane-wave DFT calculation with PBE was carried out for GeBi3Pt after structural relaxation.

As for the energy above the most stable polymorph in this dataset: 0 meV per atom. For the energy, the calculation gives -3.967 eV per atom. Its formation energy from the elements is 0.493 eV/atom.

The structure belongs to space group Pm-3m (No. 221); the cell edges are 5.437, 5.437 and 5.437 Å and the angles 90.00°, 90.00° and 90.00°. The distinct sites, in fractional coordinates, are Ge at (0.000, 0.000, 0.000), Bi at (0.000, 0.500, 0.500) and Pt at (0.500, 0.500, 0.500).

Question: Which formula does entry 7 have?
Answer: AlTl

Question: energy of number 12 (GeBi3Pt)?
Answer: -3.967 eV per atom

Question: Number 10 is which compound?
Answer: YP2SeO